{"formula": "RbLaAg2As", "functional": "PBE", "state": "relaxed", "space_group": "P4/mmm (123)", "total_magnetization_mub_per_fu": 0.000, "formation_energy_ev_per_atom": 0.016, "e_tot_ev_per_atom": -3.23, "volume_a3_per_atom": 32.7, "lattice": [[5.354, 0.000, 0.000], [0.000, 5.354, 0.000], [0.000, 0.000, 5.710]], "species": ["Rb", "La", "Ag", "Ag", "As"], "frac_coords": [[0.000, 0.000, 0.000], [0.500, 0.500, 0.000], [0.000, 0.500, 0.500], [0.500, 0.000, 0.500], [0.500, 0.500, 0.500]]}